An optimized crystal structure of NbCdSn2. Source: OQMD, functional PBE.

Summary:
E = -4.2401 eV per atom

abc: 7.1754 7.1754 7.1754
angles: 90.00 90.00 90.00
Last column: nearest neighbours and their distance in Å.
Fractional coordinates of all 16 atoms:
Nb 0.0000 0.0000 0.0000  4 Cd 3.11, 4 Sn 3.11
Nb 0.0000 0.5000 0.5000  4 Cd 3.11, 4 Sn 3.11
Nb 0.5000 0.0000 0.5000  4 Cd 3.11, 4 Sn 3.11
Nb 0.5000 0.5000 0.0000  4 Cd 3.11, 4 Sn 3.11
Cd 0.2500 0.2500 0.2500  4 Nb 3.11, 4 Sn 3.11
Cd 0.2500 0.7500 0.7500  4 Nb 3.11, 4 Sn 3.11
Cd 0.7500 0.2500 0.7500  4 Nb 3.11, 4 Sn 3.11
Cd 0.7500 0.7500 0.2500  4 Nb 3.11, 4 Sn 3.11
Sn 0.0000 0.0000 0.5000  4 Sn 3.11, 4 Cd 3.11
Sn 0.0000 0.5000 0.0000  4 Sn 3.11, 4 Cd 3.11
Sn 0.2500 0.2500 0.7500  4 Nb 3.11, 4 Sn 3.11
Sn 0.2500 0.7500 0.2500  4 Nb 3.11, 4 Sn 3.11
Sn 0.5000 0.0000 0.0000  4 Sn 3.11, 4 Cd 3.11
Sn 0.5000 0.5000 0.5000  4 Sn 3.11, 4 Cd 3.11
Sn 0.7500 0.2500 0.2500  4 Nb 3.11, 4 Sn 3.11
Sn 0.7500 0.7500 0.7500  4 Nb 3.11, 4 Sn 3.11

An optimized crystal structure of SrNbCd. Source: OQMD, functional PBE.

Summary:
Relative energy among the computed polymorphs = 0.000 eV/f.u.

abc: 7.2707 7.2707 7.2707
angles: 90.00 90.00 90.00
Last column: nearest neighbours and their distance in Å.
Fractional coordinates of all 12 atoms:
Sr 0.0000 0.0000 0.0000  4 Nb 3.15
Sr 0.0000 0.5000 0.5000  4 Nb 3.15
Sr 0.5000 0.0000 0.5000  4 Nb 3.15
Sr 0.5000 0.5000 0.0000  4 Nb 3.15
Nb 0.2500 0.2500 0.7500  4 Cd 3.15, 4 Sr 3.15
Nb 0.2500 0.7500 0.2500  4 Cd 3.15, 4 Sr 3.15
Nb 0.7500 0.2500 0.2500  4 Cd 3.15, 4 Sr 3.15
Nb 0.7500 0.7500 0.7500  4 Sr 3.15, 4 Cd 3.15
Cd 0.0000 0.0000 0.5000  4 Nb 3.15
Cd 0.0000 0.5000 0.0000  4 Nb 3.15
Cd 0.5000 0.0000 0.0000  4 Nb 3.15
Cd 0.5000 0.5000 0.5000  4 Nb 3.15

An optimized crystal structure of SrNbCd. Source: OQMD, functional PBE.

Summary:
Relative energy among the computed polymorphs = 0.882 eV/f.u.

abc: 7.4974 7.4974 7.4974
angles: 90.00 90.00 90.00
Last column: nearest neighbours and their distance in Å.
Fractional coordinates of all 12 atoms:
Sr 0.0000 0.0000 0.0000  4 Cd 3.25, 4 Nb 3.25
Sr 0.0000 0.5000 0.5000  4 Cd 3.25, 4 Nb 3.25
Sr 0.5000 0.0000 0.5000  4 Cd 3.25, 4 Nb 3.25
Sr 0.5000 0.5000 0.0000  4 Cd 3.25, 4 Nb 3.25
Nb 0.2500 0.2500 0.2500  4 Sr 3.25
Nb 0.2500 0.7500 0.7500  4 Sr 3.25
Nb 0.7500 0.2500 0.7500  4 Sr 3.25
Nb 0.7500 0.7500 0.2500  4 Sr 3.25
Cd 0.2500 0.2500 0.7500  4 Sr 3.25
Cd 0.2500 0.7500 0.2500  4 Sr 3.25
Cd 0.7500 0.2500 0.2500  4 Sr 3.25
Cd 0.7500 0.7500 0.7500  4 Sr 3.25

An optimized crystal structure of Ta2NbCd. Source: OQMD, functional PBE.

Summary:
Formation energy = 0.305 eV/atom

abc: 6.6797 6.6797 6.6797
angles: 90.00 90.00 90.00
Last column: nearest neighbours and their distance in Å.
Fractional coordinates of all 16 atoms:
Ta 0.0000 0.0000 0.0000  4 Ta 2.89, 4 Cd 2.89
Ta 0.0000 0.5000 0.5000  4 Ta 2.89, 4 Cd 2.89
Ta 0.2500 0.2500 0.2500  4 Ta 2.89, 4 Nb 2.89
Ta 0.2500 0.7500 0.7500  4 Ta 2.89, 4 Nb 2.89
Ta 0.5000 0.0000 0.5000  4 Ta 2.89, 4 Cd 2.89
Ta 0.5000 0.5000 0.0000  4 Ta 2.89, 4 Cd 2.89
Ta 0.7500 0.2500 0.7500  4 Ta 2.89, 4 Nb 2.89
Ta 0.7500 0.7500 0.2500  4 Ta 2.89, 4 Nb 2.89
Nb 0.0000 0.0000 0.5000  4 Cd 2.89, 4 Ta 2.89
Nb 0.0000 0.5000 0.0000  4 Cd 2.89, 4 Ta 2.89
Nb 0.5000 0.0000 0.0000  4 Cd 2.89, 4 Ta 2.89
Nb 0.5000 0.5000 0.5000  4 Cd 2.89, 4 Ta 2.89
Cd 0.2500 0.2500 0.7500  4 Ta 2.89, 4 Nb 2.89
Cd 0.2500 0.7500 0.2500  4 Ta 2.89, 4 Nb 2.89
Cd 0.7500 0.2500 0.2500  4 Ta 2.89, 4 Nb 2.89
Cd 0.7500 0.7500 0.7500  4 Ta 2.89, 4 Nb 2.89